[1]
Below is a geometry-optimized Ac3Mg2Al9 structure, with properties calculated at the PBE-GGA level.

Lattice parameters (Å, degrees): 8.9564 8.9564 8.9564 150.30 110.16 77.69
Last column: nearest neighbours and their distance in Å.
Fractional positions:
Ac  0.0000  0.0000  0.0000  12 Al 3.43-3.54, 4 Mg 3.76
Ac  0.3098  0.3098  0.0000  12 Al 3.34-3.64, 2 Mg 3.41
Ac  0.6902  0.6902  0.0000  12 Al 3.34-3.64, 2 Mg 3.41
Mg  0.2906  0.5000  0.7906  8 Al 2.82-3.14
Mg  0.7094  0.5000  0.2094  8 Al 2.82-3.14
Al  0.0318  0.6662  0.3656  4 Al 2.72-2.84, 1 Mg 2.82
Al  0.1303  0.8578  0.2725  3 Al 2.72-2.84, 2 Mg 3.04
Al  0.3006  0.6662  0.6344  4 Al 2.72-2.84, 1 Mg 2.82
Al  0.4147  0.1422  0.2725  3 Al 2.72-2.84, 2 Mg 3.04
Al  0.5000  0.0000  0.5000  4 Al 3.06, 4 Mg 3.14
Al  0.5853  0.8578  0.7275  3 Al 2.72-2.84, 2 Mg 3.04
Al  0.6994  0.3338  0.3656  4 Al 2.72-2.84, 1 Mg 2.82
Al  0.8697  0.1422  0.7275  3 Al 2.72-2.84, 2 Mg 3.04
Al  0.9682  0.3338  0.6344  4 Al 2.72-2.84, 1 Mg 2.82

## Properties
For the density of states at the Fermi level, the calculation gives 6.9 states/eV/cell. For the raw total energy, the calculation gives -3.811 eV/atom. The calculation puts the magnetization at 0.000 μB/cell. The energy relative to the elements is -0.296 eV/atom. The symmetry is Immm.


[2]
Below is a geometry-optimized Y2BeW structure, with properties calculated at the PBE-GGA level.

Lattice parameters (Å, degrees): 4.0795 5.6909 5.6909 42.16 90.00 90.00
Last column: nearest neighbours and their distance in Å.
Fractional positions:
Y  0.0000  0.0000  0.0000  3 Be 2.95-3.18, 4 W 3.03
Y  0.5000  0.2881  0.2881  3 W 2.96-3.17, 4 Be 3.04
Be  0.0000  0.7002  0.7002  2 W 2.37
W  0.5000  0.5865  0.5865  2 Be 2.37

## Properties
For the density of states at the Fermi level, the calculation gives 2.4 states/eV/cell. For the raw total energy, the calculation gives -7.114 eV/atom. The calculation puts the magnetization at 0.000 μB/cell. The energy relative to the elements is 0.288 eV/atom. The symmetry is Amm2.


[3]
Below is a geometry-optimized Co2NiP structure, with properties calculated at the PBE-GGA level.

Lattice parameters (Å, degrees): 4.2595 4.2595 4.2595 131.51 131.51 71.01
Last column: nearest neighbours and their distance in Å.
Fractional positions:
Co  0.0000  0.0000  0.0000  4 Co 2.46, 4 Ni 2.46, 4 P 2.47
Co  0.7500  0.2500  0.5000  4 Co 2.46, 4 P 2.46, 4 Ni 2.47
Ni  0.2500  0.7500  0.5000  8 Co 2.46-2.47, 4 P 2.46
P  0.5000  0.5000  0.0000  8 Co 2.46-2.47, 4 Ni 2.46

## Properties
For the density of states at the Fermi level, the calculation gives 3.3 states/eV/cell. For the raw total energy, the calculation gives -6.507 eV/atom. The calculation puts the magnetization at 2.622 μB/cell. The energy relative to the elements is -0.156 eV/atom. The symmetry is I-4m2.


[4]
Below is a geometry-optimized SrLaBe3 structure, with properties calculated at the PBE-GGA level.

Lattice parameters (Å, degrees): 5.0486 5.0486 5.0486 90.00 90.00 90.00
Last column: nearest neighbours and their distance in Å.
Fractional positions:
Sr  0.0000  0.0000  0.0000  6 Be 2.52
La  0.5000  0.5000  0.5000  12 Be 3.57
Be  0.0000  0.0000  0.5000  2 Sr 2.52
Be  0.0000  0.5000  0.0000  2 Sr 2.52
Be  0.5000  0.0000  0.0000  2 Sr 2.52

## Properties
For the density of states at the Fermi level, the calculation gives 4.3 states/eV/cell. For the raw total energy, the calculation gives -2.152 eV/atom. The calculation puts the magnetization at 0.000 μB/cell. The energy relative to the elements is 1.406 eV/atom. The symmetry is Pm-3m. Its polymorph energy (0 for the lowest one) is 0.162 eV per atom.


[5]
Below is a geometry-optimized Sm2Dy3Cd4 structure, with properties calculated at the PBE-GGA level.

Lattice parameters (Å, degrees): 9.8975 9.8975 8.1836 90.00 90.00 139.92
Last column: nearest neighbours and their distance in Å.
Fractional positions:
Sm  0.0924  0.9076  0.9001  5 Cd 3.34-3.69, 3 Dy 3.67-3.70
Sm  0.4076  0.5924  0.4001  5 Cd 3.34-3.69, 3 Dy 3.67-3.70
Sm  0.5924  0.4076  0.5999  5 Cd 3.34-3.69, 3 Dy 3.67-3.70
Sm  0.9076  0.0924  0.0999  5 Cd 3.34-3.69, 3 Dy 3.67-3.70
Dy  0.0000  0.0000  0.5000  6 Cd 3.00-3.01
Dy  0.0043  0.4957  0.7500  5 Cd 3.09-3.17, 2 Dy 3.39
Dy  0.4957  0.0043  0.2500  5 Cd 3.09-3.17, 2 Dy 3.39
Dy  0.5000  0.5000  0.0000  6 Cd 3.00-3.01
Dy  0.5043  0.9957  0.7500  5 Cd 3.09-3.17, 2 Dy 3.39
Dy  0.9957  0.5043  0.2500  5 Cd 3.09-3.17, 2 Dy 3.39
Cd  0.1615  0.8385  0.5159  5 Dy 3.01-3.17, 2 Cd 3.19
Cd  0.1749  0.3251  0.7500  3 Dy 3.00-3.17, 2 Cd 3.19, 2 Sm 3.34
Cd  0.3251  0.1749  0.2500  3 Dy 3.00-3.17, 2 Cd 3.19, 2 Sm 3.34
Cd  0.3385  0.6615  0.0159  5 Dy 3.01-3.17, 2 Cd 3.19
Cd  0.6615  0.3385  0.9841  5 Dy 3.01-3.17, 2 Cd 3.19
Cd  0.6749  0.8251  0.7500  3 Dy 3.00-3.17, 2 Cd 3.19, 2 Sm 3.34
Cd  0.8251  0.6749  0.2500  3 Dy 3.00-3.17, 2 Cd 3.19, 2 Sm 3.34
Cd  0.8385  0.1615  0.4841  5 Dy 3.01-3.17, 2 Cd 3.19

## Properties
For the density of states at the Fermi level, the calculation gives 16.8 states/eV/cell. For the raw total energy, the calculation gives -3.147 eV/atom. The calculation puts the magnetization at 0.000 μB/cell. The energy relative to the elements is -0.158 eV/atom. The symmetry is Cmce.


[6]
Below is a geometry-optimized Cu3IrBr structure, with properties calculated at the PBE-GGA level.

Lattice parameters (Å, degrees): 4.7274 4.7274 4.7274 90.00 90.00 90.00
Last column: nearest neighbours and their distance in Å.
Fractional positions:
Cu  0.0000  0.0000  0.5000  2 Ir 2.36
Cu  0.0000  0.5000  0.0000  2 Ir 2.36
Cu  0.5000  0.0000  0.0000  2 Ir 2.36
Ir  0.0000  0.0000  0.0000  6 Cu 2.36
Br  0.5000  0.5000  0.5000  12 Cu 3.34

## Properties
For the density of states at the Fermi level, the calculation gives 4.8 states/eV/cell. For the raw total energy, the calculation gives -3.565 eV/atom. The calculation puts the magnetization at 0.000 μB/cell. The symmetry is Pm-3m. Its polymorph energy (0 for the lowest one) is 0.000 eV per atom.


[7]
Below is a geometry-optimized Hf12Al6Ru structure, with properties calculated at the PBE-GGA level.

Lattice parameters (Å, degrees): 7.2077 7.2077 7.2077 89.18 89.18 89.18
Last column: nearest neighbours and their distance in Å.
Fractional positions:
Hf  0.0192  0.3070  0.9334  5 Hf 2.95-3.17, 4 Al 2.96-3.04
Hf  0.0666  0.9808  0.6930  5 Hf 2.95-3.17, 4 Al 2.96-3.04
Hf  0.1269  0.3524  0.4605  5 Hf 2.84-3.17, 1 Ru 2.93, 5 Al 2.95-3.14
Hf  0.3070  0.9334  0.0192  5 Hf 2.95-3.17, 4 Al 2.96-3.04
Hf  0.3524  0.4605  0.1269  5 Hf 2.84-3.17, 1 Ru 2.93, 5 Al 2.95-3.14
Hf  0.4605  0.1269  0.3524  5 Hf 2.84-3.17, 1 Ru 2.93, 5 Al 2.95-3.14
Hf  0.5395  0.8731  0.6476  5 Hf 2.84-3.17, 1 Ru 2.93, 5 Al 2.95-3.14
Hf  0.6476  0.5395  0.8731  5 Hf 2.84-3.17, 1 Ru 2.93, 5 Al 2.95-3.14
Hf  0.6930  0.0666  0.9808  5 Hf 2.95-3.17, 4 Al 2.96-3.04
Hf  0.8731  0.6476  0.5395  5 Hf 2.84-3.17, 1 Ru 2.93, 5 Al 2.95-3.14
Hf  0.9334  0.0192  0.3070  5 Hf 2.95-3.17, 4 Al 2.96-3.04
Hf  0.9808  0.6930  0.0666  5 Hf 2.95-3.17, 4 Al 2.96-3.04
Al  0.2408  0.7551  0.3884  1 Ru 2.72, 2 Al 2.85, 7 Hf 2.95-3.04
Al  0.2449  0.6116  0.7592  1 Ru 2.72, 2 Al 2.85, 7 Hf 2.95-3.04
Al  0.3884  0.2408  0.7551  1 Ru 2.72, 2 Al 2.85, 7 Hf 2.95-3.04
Al  0.6116  0.7592  0.2449  1 Ru 2.72, 2 Al 2.85, 7 Hf 2.95-3.04
Al  0.7551  0.3884  0.2408  1 Ru 2.72, 2 Al 2.85, 7 Hf 2.95-3.04
Al  0.7592  0.2449  0.6116  1 Ru 2.72, 2 Al 2.85, 7 Hf 2.95-3.04
Ru  0.5000  0.5000  0.5000  6 Al 2.72, 6 Hf 2.93

## Properties
For the density of states at the Fermi level, the calculation gives 18.3 states/eV/cell. For the raw total energy, the calculation gives -8.171 eV/atom. The calculation puts the magnetization at 0.000 μB/cell. The energy relative to the elements is -0.215 eV/atom. The symmetry is R-3.


[8]
Below is a geometry-optimized Tb2Al3GaAu4 structure, with properties calculated at the PBE-GGA level.

Lattice parameters (Å, degrees): 4.3459 4.3459 10.5612 90.00 90.00 90.00
Last column: nearest neighbours and their distance in Å.
Fractional positions:
Tb  0.0000  0.5000  0.2487  8 Au 3.31-3.41, 6 Al 3.31-3.43, 2 Ga 3.43
Tb  0.5000  0.0000  0.7513  8 Au 3.31-3.41, 6 Al 3.31-3.43, 2 Ga 3.43
Al  0.0000  0.5000  0.8684  5 Au 2.46-2.58
Al  0.5000  0.0000  0.1316  5 Au 2.46-2.58
Al  0.5000  0.5000  0.5000  4 Au 2.60
Ga  0.0000  0.0000  0.5000  4 Au 2.60
Au  0.0000  0.0000  0.0000  4 Al 2.58
Au  0.0000  0.5000  0.6355  3 Al 2.46-2.60, 2 Ga 2.60
Au  0.5000  0.0000  0.3645  3 Al 2.46-2.60, 2 Ga 2.60
Au  0.5000  0.5000  0.0000  4 Al 2.58

## Properties
For the density of states at the Fermi level, the calculation gives 3.4 states/eV/cell. For the raw total energy, the calculation gives -4.350 eV/atom. The calculation puts the magnetization at 0.000 μB/cell. The energy relative to the elements is -0.687 eV/atom. The symmetry is P-4m2.


[9]
Below is a geometry-optimized Th2TcC2 structure, with properties calculated at the PBE-GGA level.

Lattice parameters (Å, degrees): 8.9513 6.1062 6.8713 90.00 107.69 90.00
Last column: nearest neighbours and their distance in Å.
Fractional positions:
Th  0.0838  0.2351  0.4318  2 C 2.55
Th  0.0838  0.2649  0.9318  2 C 2.55
Th  0.3175  0.6029  0.3568  4 C 2.53-2.80
Th  0.3175  0.8971  0.8568  4 C 2.53-2.80
Th  0.6825  0.1029  0.1432  4 C 2.53-2.80
Th  0.6825  0.3971  0.6432  4 C 2.53-2.80
Th  0.9162  0.7351  0.0682  2 C 2.55
Th  0.9162  0.7649  0.5682  2 C 2.55
Tc  0.3935  0.0843  0.3223  3 C 2.03-2.10
Tc  0.3935  0.4157  0.8223  3 C 2.03-2.10
Tc  0.6065  0.5843  0.1777  3 C 2.03-2.10
Tc  0.6065  0.9157  0.6777  3 C 2.03-2.10
C  0.1786  0.5636  0.6668  1 Tc 2.10
C  0.1786  0.9364  0.1668  1 Tc 2.10
C  0.4215  0.1899  0.6114  2 Tc 2.03-2.07
C  0.4215  0.3101  0.1114  2 Tc 2.03-2.07
C  0.5785  0.6899  0.8886  2 Tc 2.03-2.07
C  0.5785  0.8101  0.3886  2 Tc 2.03-2.07
C  0.8214  0.0636  0.8332  1 Tc 2.10
C  0.8214  0.4364  0.3332  1 Tc 2.10

## Properties
For the density of states at the Fermi level, the calculation gives 12.7 states/eV/cell. For the raw total energy, the calculation gives -8.844 eV/atom. The calculation puts the magnetization at 0.000 μB/cell. The energy relative to the elements is -0.113 eV/atom. The symmetry is P2_1/c. Its polymorph energy (0 for the lowest one) is 0.197 eV per atom.


[10]
Below is a geometry-optimized As2PIrSe structure, with properties calculated at the PBE-GGA level.

Lattice parameters (Å, degrees): 4.5609 4.5609 4.6818 90.00 90.00 90.00
Last column: nearest neighbours and their distance in Å.
Fractional positions:
As  0.0000  0.5000  0.0000  2 P 2.28
As  0.5000  0.0000  0.0000  2 P 2.28
P  0.0000  0.0000  0.0000  4 As 2.28, 2 Se 2.34
Ir  0.5000  0.5000  0.5000  4 Se 3.23, 8 As 3.27
Se  0.0000  0.0000  0.5000  2 P 2.34

## Properties
For the density of states at the Fermi level, the calculation gives 2.6 states/eV/cell. For the raw total energy, the calculation gives -4.307 eV/atom. The calculation puts the magnetization at 0.000 μB/cell. The symmetry is P4/mmm. Its polymorph energy (0 for the lowest one) is 0.247 eV per atom.


Which value of raw total energy does entry 8 give?
-4.350 eV/atom